VASP calculation (PBE) on crystalline Nd2Er9Th at its relaxed geometry.

Lattice parameters (Å, degrees): 5.0043 5.0043 15.0478 90.00 90.00 90.00
Closest atoms and distances in Å follow each position.
Positions (direct):
Er 0.5000 0.5000 0.0000  8 Er 3.51, 4 Th 3.54
Er 0.5000 0.0000 0.1635  2 Th 3.51, 8 Er 3.51-3.58, 2 Nd 3.56
Er 0.5000 0.5000 0.3334  4 Nd 3.54, 8 Er 3.54-3.58
Er 0.5000 0.0000 0.5000  8 Er 3.54, 4 Nd 3.56
Er 0.0000 0.5000 0.5000  8 Er 3.54, 4 Nd 3.56
Er 0.0000 0.5000 0.8365  8 Er 3.51-3.58, 2 Th 3.51, 2 Nd 3.56
Er 0.0000 0.5000 0.1635  8 Er 3.51-3.58, 2 Th 3.51, 2 Nd 3.56
Er 0.5000 0.0000 0.8365  2 Th 3.51, 8 Er 3.51-3.58, 2 Nd 3.56
Er 0.5000 0.5000 0.6666  4 Nd 3.54, 8 Er 3.54-3.58
Nd 0.0000 0.0000 0.3321  12 Er 3.54-3.56
Nd 0.0000 0.0000 0.6679  12 Er 3.54-3.56
Th 0.0000 0.0000 0.0000  12 Er 3.51-3.54

VASP calculation (PBE) on crystalline CoAuCl at its relaxed geometry.

Lattice parameters (Å, degrees): 6.6619 3.1357 5.4735 90.00 106.26 90.00
Closest atoms and distances in Å follow each position.
Positions (direct):
Cl 0.9312 0.0000 0.8885  3 Co 2.31
Cl 0.9312 0.5000 0.3885  3 Co 2.31
Co 0.1540 0.0000 0.2966  3 Cl 2.31
Co 0.1540 0.5000 0.7966  3 Cl 2.31
Au 0.4584 0.5000 0.2322  3 Co 2.66
Au 0.4584 0.0000 0.7322  3 Co 2.66

Output
For the relative energy among the computed polymorphs, the calculation gives 34 kJ/mol of formula units. The calculation puts the uncorrected formation energy at 0.050 eV per atom.

VASP calculation (PBE) on crystalline RbAlRu3 at its relaxed geometry.

Lattice parameters (Å, degrees): 4.7510 4.7510 4.7510 90.00 90.00 90.00
Closest atoms and distances in Å follow each position.
Positions (direct):
Ru 0.0000 0.0000 0.5000  2 Rb 2.38
Ru 0.5000 0.0000 0.0000  2 Rb 2.38
Ru 0.0000 0.5000 0.0000  2 Rb 2.38
Rb 0.0000 0.0000 0.0000  6 Ru 2.38
Al 0.5000 0.5000 0.5000  12 Ru 3.36

Output
For the relative energy among the computed polymorphs, the calculation gives 738 kJ/mol of formula units.

VASP calculation (PBE) on crystalline La5YTm2 at its relaxed geometry.

Lattice parameters (Å, degrees): 15.1496 15.1496 8.3177 65.69 65.69 127.50
Closest atoms and distances in Å follow each position.
Positions (direct):
La 0.1698 0.4775 0.1654  3 La 3.04-3.16, 1 Tm 3.23
La 0.6212 0.3788 0.7500  4 La 3.14-3.16
La 0.9960 0.1281 0.3909  2 La 3.04-3.14
La 0.8302 0.5225 0.8346  3 La 3.04-3.16, 1 Tm 3.23
La 0.8719 0.0040 0.1091  2 La 3.04-3.14
La 0.0040 0.8719 0.6091  2 La 3.04-3.14
La 0.4775 0.1698 0.6654  3 La 3.04-3.16, 1 Tm 3.23
La 0.1281 0.9960 0.8909  2 La 3.04-3.14
La 0.3788 0.6212 0.2500  4 La 3.14-3.16
La 0.5225 0.8302 0.3346  3 La 3.04-3.16, 1 Tm 3.23
Y 0.2088 0.7912 0.7500  2 Tm 3.53, 2 La 3.73, 2 Y 3.91
Y 0.7912 0.2088 0.2500  2 Tm 3.53, 2 La 3.73, 2 Y 3.91
Tm 0.0000 0.5000 0.5000  2 Tm 3.21, 2 La 3.23, 2 Y 3.53
Tm 0.5000 0.5000 0.0000  4 La 3.41-3.57
Tm 0.5000 0.0000 0.0000  2 Tm 3.21, 2 La 3.23, 2 Y 3.53
Tm 0.5000 0.5000 0.5000  4 La 3.41-3.57

Output
For the relative energy among the computed polymorphs, the calculation gives 62 kJ/mol of formula units.

| no. | E (eV/atom) |
| --- | --- |
| 1 | -4.808 |
| 2 | -4.027 |
| 3 | -3.591 |
| 4 | -4.793 |